Compound: HoCr2O8
Source: Alexandria via LeMat-Bulk
Functional: GGA+U
Structure: relaxed

a b c (Å): 4.6878 4.6878 6.5601
angles (deg): 110.93 110.94 89.99
With the nearest neighbours (Å) after each atom.
Positions (direct):
Cr (0.7500, 0.2500, 0.5000)  8 O 2.04-2.05
O (0.3947, 0.8937, 0.2884)  2 Cr 2.04-2.05
O (0.3947, 0.3947, 0.2884)  2 Cr 2.04-2.05
O (0.6053, 0.6054, 0.7117)  2 Cr 2.04-2.05
O (0.1062, 0.6053, 0.7116)  2 Cr 2.04-2.05
Ho (0.5000, 0.5000, 0.0000)  8 O 2.32
O (0.1062, 0.1062, 0.7116)  2 Cr 2.04-2.05
O (0.8938, 0.8937, 0.2883)  2 Cr 2.04-2.05
O (0.6053, 0.1063, 0.7116)  2 Cr 2.04-2.05
Cr (0.2500, 0.7501, 0.5000)  8 O 2.04-2.05
O (0.8938, 0.3946, 0.2884)  2 Cr 2.04-2.05

Calculated values
* volume: 124.40 Å³ per cell
* energy: -6.51 eV/atom
* N(E_F): 2.854 states/eV/f.u.